1.
{
  "formula": "K2EuAg",
  "functional": "GGA-PBE",
  "state": "optimized geometry",
  "formation_energy_ev_per_atom": 0.2349,
  "m_tot_mub_per_fu": 7.6,
  "mass_density_g_cm3": 2.9,
  "lattice": [[-1.658, 3.674, 1.213], [-2.842, 0.104, 3.103], [7.906, 2.676, 10.005]],
  "species": ["K", "Eu", "Ag", "K"],
  "frac_coords": [[0.894, 0.894, 0.318], [0.000, 0.000, 0.000], [0.500, 0.500, 0.500], [0.106, 0.106, 0.682]]
}

2.
{
  "formula": "KEuAg2",
  "functional": "GGA-PBE",
  "state": "optimized geometry",
  "formation_energy_ev_per_atom": -0.1201,
  "polymorph_energy_mev_per_atom": 0,
  "m_tot_mub_per_fu": 7.3,
  "mass_density_g_cm3": 5.4,
  "lattice": [[3.941, 0.000, 0.000], [0.000, 3.941, 0.000], [0.000, 0.000, 8.113]],
  "species": ["Ag", "Eu", "K", "Ag"],
  "frac_coords": [[0.000, 0.000, 0.800], [0.500, 0.500, 0.000], [0.500, 0.500, 0.500], [0.000, 0.000, 0.200]]
}

3.
{
  "formula": "KEuAg2",
  "functional": "GGA-PBE",
  "state": "optimized geometry",
  "formation_energy_ev_per_atom": -0.0296,
  "polymorph_energy_mev_per_atom": 91,
  "m_tot_mub_per_fu": 7.4,
  "mass_density_g_cm3": 5.6,
  "lattice": [[-2.209, -0.031, -5.079], [-0.107, -4.690, -2.945], [-4.811, -2.588, -0.911]],
  "species": ["Ag", "Eu", "K", "Ag"],
  "frac_coords": [[0.250, 0.250, 0.250], [0.000, 0.000, 0.000], [0.500, 0.500, 0.500], [0.750, 0.750, 0.750]]
}

4.
{
  "formula": "KEuAgPb",
  "functional": "GGA-PBE",
  "state": "optimized geometry",
  "formation_energy_ev_per_atom": -0.0940,
  "m_tot_mub_per_fu": 7.1,
  "mass_density_g_cm3": 6.6,
  "lattice": [[5.652, 0.000, 0.000], [2.826, 4.895, 0.000], [2.826, 1.632, 4.615]],
  "species": ["K", "Pb", "Ag", "Eu"],
  "frac_coords": [[0.500, 0.500, 0.500], [0.750, 0.750, 0.750], [0.250, 0.250, 0.250], [0.000, 0.000, 0.000]]
}

5.
{
  "formula": "KEuTlAg",
  "functional": "GGA-PBE",
  "state": "optimized geometry",
  "formation_energy_ev_per_atom": -0.0396,
  "m_tot_mub_per_fu": 7.5,
  "mass_density_g_cm3": 6.5,
  "lattice": [[-3.483, -0.833, 4.381], [2.120, -0.959, 5.157], [-0.469, 3.943, 4.030]],
  "species": ["Eu", "Tl", "Ag", "K"],
  "frac_coords": [[0.500, 0.500, 0.500], [0.750, 0.750, 0.750], [0.250, 0.250, 0.250], [0.000, 0.000, 0.000]]
}

6.
{
  "formula": "La2EuAg",
  "functional": "GGA-PBE",
  "state": "optimized geometry",
  "formation_energy_ev_per_atom": 0.0524,
  "polymorph_energy_mev_per_atom": 136,
  "m_tot_mub_per_fu": 7.7,
  "mass_density_g_cm3": 7.2,
  "lattice": [[-0.667, 5.142, 2.140], [-4.249, 1.048, 3.508], [1.017, 0.928, 5.439]],
  "species": ["La", "Eu", "La", "Ag"],
  "frac_coords": [[0.750, 0.750, 0.750], [0.000, 0.000, 0.000], [0.250, 0.250, 0.250], [0.500, 0.500, 0.500]]
}

7.
{
  "formula": "La2EuAg",
  "functional": "GGA-PBE",
  "state": "optimized geometry",
  "formation_energy_ev_per_atom": -0.0837,
  "polymorph_energy_mev_per_atom": 0,
  "m_tot_mub_per_fu": 8.8,
  "mass_density_g_cm3": 6.6,
  "lattice": [[-2.339, -0.177, 3.049], [-2.106, -2.687, -1.772], [5.254, -6.524, 3.651]],
  "species": ["La", "Ag", "La", "Eu"],
  "frac_coords": [[0.000, 0.000, 0.298], [0.500, 0.500, 0.500], [0.000, 0.000, 0.702], [0.500, 0.500, 0.000]]
}

8.
{
  "formula": "LaEuAg",
  "functional": "GGA-PBE",
  "state": "optimized geometry",
  "formation_energy_ev_per_atom": -0.1459,
  "polymorph_energy_mev_per_atom": 0,
  "m_tot_mub_per_fu": 8.0,
  "mass_density_g_cm3": 6.9,
  "lattice": [[3.846, 0.000, 0.000], [0.000, 3.846, 0.000], [-1.923, -1.923, 6.492]],
  "species": ["Eu", "Ag", "La"],
  "frac_coords": [[0.023, 0.023, 0.046], [0.669, 0.669, 0.339], [0.307, 0.307, 0.615]]
}

9.
{
  "formula": "LaEuAg",
  "functional": "GGA-PBE",
  "state": "optimized geometry",
  "formation_energy_ev_per_atom": -0.0052,
  "polymorph_energy_mev_per_atom": 141,
  "m_tot_mub_per_fu": 7.4,
  "mass_density_g_cm3": 6.3,
  "lattice": [[5.291, 0.000, 0.000], [2.645, 4.582, 0.000], [2.645, 1.527, 4.320]],
  "species": ["Eu", "La", "Ag"],
  "frac_coords": [[0.000, 0.000, 0.000], [0.500, 0.500, 0.500], [0.250, 0.250, 0.250]]
}

10.
{
  "formula": "La2EuAg",
  "functional": "GGA-PBE",
  "state": "optimized geometry",
  "formation_energy_ev_per_atom": 0.0033,
  "polymorph_energy_mev_per_atom": 87,
  "m_tot_mub_per_fu": 7.5,
  "mass_density_g_cm3": 7.1,
  "lattice": [[-0.832, 2.420, -3.055], [2.180, -3.764, -3.576], [-5.057, -2.418, -0.538]],
  "species": ["La", "La", "Ag", "Eu"],
  "frac_coords": [[0.000, 0.000, 0.500], [0.000, 0.500, 0.000], [0.500, 0.000, 0.000], [0.500, 0.500, 0.500]]
}

11.
{
  "formula": "LaEuAg",
  "functional": "GGA-PBE",
  "state": "optimized geometry",
  "formation_energy_ev_per_atom": -0.0273,
  "polymorph_energy_mev_per_atom": 119,
  "m_tot_mub_per_fu": 7.2,
  "mass_density_g_cm3": 7.3,
  "lattice": [[-0.610, 3.263, 1.910], [-4.545, -1.895, 1.786], [4.409, -0.769, 2.722]],
  "species": ["Eu", "Ag", "La"],
  "frac_coords": [[0.615, 0.667, 0.333], [0.350, 0.333, 0.667], [0.035, 0.000, 0.000]]
}

12.
{
  "formula": "NaLaEuAg",
  "functional": "GGA-PBE",
  "state": "optimized geometry",
  "formation_energy_ev_per_atom": 0.0243,
  "m_tot_mub_per_fu": 7.3,
  "mass_density_g_cm3": 5.7,
  "lattice": [[5.595, 0.000, 0.000], [2.797, 4.845, 0.000], [2.797, 1.615, 4.568]],
  "species": ["La", "Eu", "Ag", "Na"],
  "frac_coords": [[0.500, 0.500, 0.500], [0.000, 0.000, 0.000], [0.250, 0.250, 0.250], [0.750, 0.750, 0.750]]
}

Taking the records one at a time from the top gives E values of -14.4; -17.6; -17.2; -18.3; -16.7; -22.8; -23.3; -18.5; -18.1; -23.0; -18.1; -19.3 eV per cell.